Version P
The following is a PBE-GGA calculation of PrScH2 after structural relaxation, from Alexandria via LeMat-Bulk.

Magnetization (Bohr magnetons per cell): 0.0
Calculated volume (A^3/atom): 14.704

The structure in POSCAR format:
```
PrScH2
1.0
-1.461 -1.887 2.427
1.886 -2.136 1.861
1.120 2.923 5.332
Sc Pr H
1 1 2
direct
0.668 0.668 0.995
0.491 0.491 0.526
0.062 0.062 0.815
0.279 0.279 0.164
```

Version Q
The following is a PBE-GGA calculation of PrScH2 after structural relaxation, from Alexandria via LeMat-Bulk.

Magnetization (Bohr magnetons per cell): 0.0
Calculated volume (A^3/atom): 14.407

The structure in POSCAR format:
```
PrScH2
1.0
-3.146 -0.558 -1.256
-0.797 -3.061 -1.333
-3.030 -2.973 4.218
Sc H Pr
1 2 1
direct
0.000 0.000 0.000
0.268 0.268 0.195
0.732 0.732 0.805
0.500 0.500 0.500
```

Most stable: version Q. Least stable: version P.